(1)
Entry from Alexandria via LeMat-Bulk: a PBEsol-optimized structure of CoNiPt2 (meta-GGA SCAN).

DFT formation energy in meV/atom: -100

a b c (Å): 2.660 3.680 5.293
angles (deg): 90.00 90.00 90.00
Positions (direct):
Co1 0.000 0.000 0.000
Ni1 0.500 0.500 0.238
Pt1 0.000 0.000 0.475
Pt2 0.500 0.500 0.765

(2)
Entry from Alexandria via LeMat-Bulk: a PBEsol-optimized structure of Co2NiPt (meta-GGA SCAN).

DFT formation energy in meV/atom: -54

a b c (Å): 8.379 2.583 4.406
angles (deg): 90.00 100.65 90.00
Positions (direct):
Co1 0.000 0.000 0.000
Co2 0.245 0.500 0.235
Co3 0.500 0.500 0.000
Co4 0.745 0.000 0.235
Ni1 0.492 0.000 0.470
Ni2 0.992 0.500 0.470
Pt1 0.248 0.000 0.737
Pt2 0.748 0.500 0.737

(3)
Entry from Alexandria via LeMat-Bulk: a PBEsol-optimized structure of Co6NiPt (meta-GGA SCAN).

DFT formation energy in meV/atom: -47

a b c (Å): 6.125 6.125 10.015
angles (deg): 90.00 90.00 109.68
Positions (direct):
Co1 0.000 0.000 0.000
Co2 0.000 0.000 0.500
Co3 0.117 0.372 0.121
Co4 0.117 0.372 0.879
Co5 0.121 0.365 0.371
Co6 0.121 0.365 0.629
Co7 0.246 0.754 0.244
Co8 0.246 0.754 0.756
Co9 0.365 0.121 0.371
Co10 0.365 0.121 0.629
Co11 0.372 0.117 0.121
Co12 0.372 0.117 0.879
Co13 0.500 0.500 0.000
Co14 0.500 0.500 0.500
Co15 0.628 0.883 0.121
Co16 0.628 0.883 0.879
Co17 0.635 0.879 0.371
Co18 0.635 0.879 0.629
Co19 0.754 0.246 0.244
Co20 0.754 0.246 0.756
Co21 0.879 0.635 0.371
Co22 0.879 0.635 0.629
Co23 0.883 0.628 0.121
Co24 0.883 0.628 0.879
Ni1 0.000 0.000 0.246
Ni2 0.000 0.000 0.754
Ni3 0.252 0.748 0.000
Ni4 0.748 0.252 0.000
Pt1 0.252 0.748 0.500
Pt2 0.500 0.500 0.247
Pt3 0.500 0.500 0.753
Pt4 0.748 0.252 0.500

(4)
Entry from Alexandria via LeMat-Bulk: a PBEsol-optimized structure of Co2NiPt (meta-GGA SCAN).

DFT formation energy in meV/atom: -78

a b c (Å): 5.049 7.226 2.577
angles (deg): 90.00 90.00 90.00
Positions (direct):
Co1 0.250 0.250 0.000
Co2 0.250 0.750 0.000
Co3 0.750 0.250 0.000
Co4 0.750 0.750 0.000
Ni1 0.000 0.000 0.500
Ni2 0.500 0.500 0.500
Pt1 0.000 0.500 0.500
Pt2 0.500 0.000 0.500

(5)
Entry from Alexandria via LeMat-Bulk: a PBEsol-optimized structure of CoNiPt2 (meta-GGA SCAN).

DFT formation energy in meV/atom: -130

a b c (Å): 8.776 2.669 4.494
angles (deg): 90.00 101.42 90.00
Positions (direct):
Co1 0.000 0.000 0.000
Co2 0.500 0.500 0.000
Ni1 0.261 0.000 0.742
Ni2 0.761 0.500 0.742
Pt1 0.009 0.500 0.516
Pt2 0.250 0.500 0.224
Pt3 0.509 0.000 0.516
Pt4 0.750 0.000 0.224

(6)
Entry from Alexandria via LeMat-Bulk: a PBEsol-optimized structure of CoNiPt2 (meta-GGA SCAN).

DFT formation energy in meV/atom: -168

a b c (Å): 2.665 2.665 7.250
angles (deg): 90.00 90.00 90.00
Positions (direct):
Co1 0.000 0.000 0.000
Ni1 0.000 0.000 0.500
Pt1 0.500 0.500 0.248
Pt2 0.500 0.500 0.752